Record 1
Dy6GaAg5 | PBE | relaxed

density of states at the Fermi level	0.58	states/eV/atom
energy of formation from the pure elements	-4.41	eV/f.u.
crystal system	orthorhombic
total DFT energy (no corrections)	-4.109	eV/atom
theoretical density	9.19	g cm⁻³

Lattice parameters (Å, degrees): 5.123 15.360 7.273 90.00 90.00 90.00
Space group Cmmm (No. 65)
Unique sites:
Dy: 0.000 0.000 0.249 [4 per cell]
Dy: 0.000 0.335 0.249 [8 per cell]
Ga: 0.000 0.500 0.000 [2 per cell]
Ag: 0.000 0.165 0.000 [4 per cell]
Ag: 0.000 0.168 0.500 [4 per cell]
Ag: 0.000 0.500 0.500 [2 per cell]

=====

Record 2
Dy5Ga4Ag | PBE | relaxed

density of states at the Fermi level	0.57	states/eV/atom
energy of formation from the pure elements	-5.30	eV/f.u.
crystal system	tetragonal
total DFT energy (no corrections)	-4.327	eV/atom
theoretical density	8.64	g cm⁻³

Lattice parameters (Å, degrees): 3.562 3.562 18.159 90.00 90.00 90.00
Space group P4/mmm (No. 123)
Unique sites:
Dy: 0.000 0.000 0.000 [1 per cell]
Dy: 0.000 0.000 0.197 [2 per cell]
Dy: 0.000 0.000 0.395 [2 per cell]
Ga: 0.500 0.500 0.098 [2 per cell]
Ga: 0.500 0.500 0.298 [2 per cell]
Ag: 0.500 0.500 0.500 [1 per cell]

=====

Record 3
Dy2GaAg2 | PBE | relaxed

density of states at the Fermi level	0.68	states/eV/atom
energy of formation from the pure elements	-1.82	eV/f.u.
crystal system	monoclinic
total DFT energy (no corrections)	-3.951	eV/atom
theoretical density	8.88	g cm⁻³

Lattice parameters (Å, degrees): 11.002 3.818 11.728 90.00 112.05 90.00
Space group C2/m (No. 12)
Unique sites:
Dy: 0.019 0.000 0.171 [4 per cell]
Dy: 0.188 0.000 0.607 [4 per cell]
Ga: 0.197 0.500 0.813 [4 per cell]
Ag: 0.035 0.500 0.391 [4 per cell]
Ag: 0.155 0.500 0.038 [4 per cell]

=====

Record 4
Dy2Ga12Ag | PBE | relaxed

density of states at the Fermi level	0.32	states/eV/atom
energy of formation from the pure elements	-3.88	eV/f.u.
crystal system	tetragonal
total DFT energy (no corrections)	-3.484	eV/atom
theoretical density	7.15	g cm⁻³

Lattice parameters (Å, degrees): 6.232 6.232 15.180 90.00 90.00 90.00
Space group P4/nbm (No. 125, origin choice 2)
Unique sites:
Dy: 0.250 0.750 0.247 [4 per cell]
Ga: 0.000 0.000 0.094 [8 per cell]
Ga: 0.084 0.584 0.430 [8 per cell]
Ga: 0.250 0.250 0.187 [4 per cell]
Ga: 0.250 0.250 0.348 [4 per cell]
Ag: 0.250 0.750 0.000 [2 per cell]

=====

Record 5
Dy4Ga2Ag5 | PBE | relaxed

density of states at the Fermi level	0.62	states/eV/atom
energy of formation from the pure elements	-3.62	eV/f.u.
crystal system	monoclinic
total DFT energy (no corrections)	-3.849	eV/atom
theoretical density	8.84	g cm⁻³

Lattice parameters (Å, degrees): 7.322 3.823 8.927 90.00 93.37 90.00
Space group P2/m (No. 10)
Unique sites:
Dy: 0.200 0.000 0.369 [2 per cell]
Dy: 0.251 0.000 0.917 [2 per cell]
Ga: 0.070 0.500 0.132 [2 per cell]
Ag: 0.154 0.500 0.637 [2 per cell]
Ag: 0.441 0.500 0.168 [2 per cell]
Ag: 0.500 0.500 0.500 [1 per cell]

=====

Record 6
Dy3GaAg | PBE | relaxed

density of states at the Fermi level	0.89	states/eV/atom
energy of formation from the pure elements	-1.37	eV/f.u.
crystal system	monoclinic
total DFT energy (no corrections)	-4.211	eV/atom
theoretical density	8.64	g cm⁻³

Lattice parameters (Å, degrees): 17.180 9.544 6.271 90.00 96.22 90.00
Space group C2/c (No. 15)
Unique sites:
Dy: 0.056 0.247 0.025 [8 per cell]
Dy: 0.152 0.103 0.607 [8 per cell]
Dy: 0.166 0.453 0.493 [8 per cell]
Ga: 0.225 0.196 0.174 [8 per cell]
Ag: 0.000 0.000 0.250 [4 per cell]
Ag: 0.000 0.495 0.750 [4 per cell]

=====

Record 7
DyGa3Ag3 | PBE | relaxed

density of states at the Fermi level	0.28	states/eV/atom
energy of formation from the pure elements	-0.76	eV/f.u.
crystal system	trigonal
total DFT energy (no corrections)	-3.286	eV/atom
theoretical density	7.89	g cm⁻³
relative energy among the computed polymorphs	0.1285	eV/atom

Lattice parameters (Å, degrees): 8.0050 8.0050 15.8139 90.00 90.00 120.00
Space group R-3 (No. 148, hexagonal axes)
Unique sites:
Dy: 0.0000 0.0000 0.1706 [6 per cell]
Ga: 0.0087 0.3652 0.6162 [18 per cell]
Ag: 0.0033 0.2736 0.4416 [18 per cell]

=====

Record 8
Dy6Ga2Ag | PBE | relaxed

density of states at the Fermi level	0.91	states/eV/atom
energy of formation from the pure elements	-3.06	eV/f.u.
crystal system	orthorhombic
total DFT energy (no corrections)	-4.398	eV/atom
theoretical density	8.42	g cm⁻³
relative energy among the computed polymorphs	0.0000	eV/atom

Lattice parameters (Å, degrees): 9.599 9.727 10.330 90.00 90.00 90.00
Space group Immm (No. 71)
Unique sites:
Dy: 0.000 0.205 0.176 [8 per cell]
Dy: 0.178 0.228 0.500 [8 per cell]
Dy: 0.196 0.500 0.251 [8 per cell]
Ga: 0.000 0.000 0.378 [4 per cell]
Ga: 0.144 0.000 0.000 [4 per cell]
Ag: 0.000 0.500 0.000 [2 per cell]
Ag: 0.000 0.500 0.500 [2 per cell]